Below is a relaxed structure of Na3Mn2PtO6, with properties calculated at the PBE+U level.

Structure (CIF):
```
data_Na3Mn2PtO6
_symmetry_space_group_name_H-M 'P 1'
_symmetry_Int_Tables_number 1
_cell_length_a 5.4056
_cell_length_b 5.4056
_cell_length_c 5.6175
_cell_angle_alpha 99.12
_cell_angle_beta 99.12
_cell_angle_gamma 120.11
loop_
_symmetry_equiv_pos_as_xyz
'x,y,z'
loop_
_atom_site_label
_atom_site_type_symbol
_atom_site_fract_x
_atom_site_fract_y
_atom_site_fract_z
Na1 Na 0.0000 0.0000 0.0000
Na2 Na 0.3330 0.6670 0.0000
Na3 Na 0.6670 0.3330 0.0000
Mn1 Mn 0.1686 0.8314 0.5000
Mn2 Mn 0.8314 0.1686 0.5000
Pt1 Pt 0.5000 0.5000 0.5000
O1 O 0.1022 0.4312 0.2977
O2 O 0.2346 0.2346 0.6977
O3 O 0.4312 0.1022 0.2977
O4 O 0.5688 0.8978 0.7023
O5 O 0.7654 0.7654 0.3023
O6 O 0.8978 0.5688 0.7023
```

Computed properties:
size of the total moment = 0.417 μB/atom
calculated total energy = -5.6995 eV per atom